No. 1
An optimized crystal structure of Pr2Cu3Hg, computed with PBE-GGA.

Cell: 5.9037 5.9037 8.6104 Å, 106.34 106.34 100.35°
Element x y z (fractional)
Pr 0.2417 0.2417 0.0000
Cu 0.8397 0.8397 0.6793
Pr 0.7500 0.2500 0.5000
Cu 0.1600 0.6789 0.8389
Hg 0.3342 0.3342 0.6683
Cu 0.6789 0.1600 0.8389
Cu 0.3211 0.8400 0.1611
Hg 0.6658 0.6658 0.3317
Pr 0.2500 0.7500 0.5000
Cu 0.8400 0.3211 0.1611
Cu 0.1603 0.1603 0.3207
Pr 0.7583 0.7583 0.0000

Output
- total DFT energy (no corrections) (eV per cell) = -47.05
- formation energy (eV per atom) = -0.229
- total magnetic moment (μB/f.u.) = 0.00
- relative energy among the computed polymorphs (meV per atom) = 0

No. 2
An optimized crystal structure of Pu3Th2H8, computed with PBE-GGA.

Cell: 3.8117 7.1851 7.1856 Å, 65.54 90.00 90.00°
Each line ends with the local moment (μB).
Element x y z (fractional)
H 0.0000 0.8796 0.8795  -0.02
H 0.5000 0.1189 0.6337  -0.01
Pu 0.0000 0.6916 0.3084  5.64
H 0.0000 0.3599 0.3599  -0.01
Th 0.5000 0.7411 0.7410  0.28
Th 0.5000 0.2589 0.2590  0.28
H 0.5000 0.6337 0.1189  -0.01
Pu 0.0000 0.3084 0.6916  5.64
H 0.0000 0.1204 0.1205  -0.02
H 0.0000 0.6401 0.6401  -0.01
H 0.5000 0.3663 0.8811  -0.01
Pu 0.5000 0.0000 0.0000  5.94
H 0.5000 0.8811 0.3663  -0.01

Output
- total DFT energy (no corrections) (eV per cell) = -87.61
- total magnetic moment (μB/f.u.) = 18.74

No. 3
An optimized crystal structure of Zn2FeAs, computed with PBE-GGA.

Cell: 4.7733 2.6985 4.8649 Å, 105.33 90.00 90.00°
Each line ends with the local moment (μB).
Element x y z (fractional)
As 0.5000 0.2500 0.2500  -0.01
Zn 0.0000 0.3780 0.5223  -0.02
Fe 0.5000 0.7500 0.7500  2.35
Zn 0.0000 0.1220 0.9777  -0.02

Output
- total DFT energy (no corrections) (eV per cell) = -14.99
- formation energy (eV per atom) = 0.168
- total magnetic moment (μB/f.u.) = 2.25

No. 4
An optimized crystal structure of LiSc, computed with PBE-GGA.

Cell: 5.6163 5.6163 5.6163 Å, 90.00 90.00 90.00°
Element x y z (fractional)
Sc 0.5000 0.5000 0.5000
Sc 0.0000 0.5000 0.0000
Sc 0.0000 0.0000 0.5000
Li 0.5000 0.5000 0.0000
Li 0.0000 0.0000 0.0000
Sc 0.5000 0.0000 0.0000
Li 0.5000 0.0000 0.5000
Li 0.0000 0.5000 0.5000

Output
- total DFT energy (no corrections) (eV per cell) = -28.58
- formation energy (eV per atom) = 0.550
- total magnetic moment (μB/f.u.) = 0.00
- relative energy among the computed polymorphs (meV per atom) = 458

No. 5
An optimized crystal structure of ScTaTe2, computed with PBE-GGA.

Cell: 9.8596 9.8596 9.8596 Å, 20.82 20.82 20.82°
Element x y z (fractional)
Sc 0.0000 0.0000 0.0000
Te 0.1008 0.1008 0.1008
Te 0.8992 0.8992 0.8992
Ta 0.5000 0.5000 0.5000

Output
- total DFT energy (no corrections) (eV per cell) = -24.97
- total magnetic moment (μB/f.u.) = 0.00
- formation energy (no corrections) (kcal/mol of atoms) = -2.90
- relative energy among the computed polymorphs (meV per atom) = 414

No. 6
An optimized crystal structure of Th8BiSe6, computed with PBE-GGA.

Cell: 4.1287 10.9758 10.9758 Å, 120.00 90.00 90.00°
Element x y z (fractional)
Th 0.2540 0.2793 0.3231
Th 0.2540 0.6769 0.9562
Th 0.7483 0.3333 0.6667
Se 0.2484 0.3627 0.8741
Th 0.2517 0.6667 0.3333
Se 0.7516 0.6373 0.1259
Se 0.7516 0.4886 0.3627
Th 0.7460 0.3231 0.0438
Th 0.7460 0.7207 0.6769
Th 0.7460 0.9562 0.2793
Th 0.2540 0.0438 0.7207
Se 0.2484 0.5114 0.6373
Se 0.7516 0.8741 0.5114
Bi 0.5000 0.0000 0.0000
Se 0.2484 0.1259 0.4886

Output
- total DFT energy (no corrections) (eV per cell) = -100.19
- total magnetic moment (μB/f.u.) = 0.00
- formation energy (no corrections) (kcal/mol of atoms) = -24.66

No. 7
An optimized crystal structure of Pr2Ni4Ge3Au, computed with PBE-GGA.

Cell: 4.2469 4.2469 9.7221 Å, 90.00 90.00 90.00°
Element x y z (fractional)
Au 0.5000 0.5000 0.5000
Ni 0.5000 0.0000 0.6393
Ni 0.0000 0.5000 0.3607
Ni 0.0000 0.0000 0.0000
Ni 0.5000 0.5000 0.0000
Pr 0.5000 0.0000 0.2465
Ge 0.0000 0.0000 0.5000
Pr 0.0000 0.5000 0.7535
Ge 0.0000 0.5000 0.1196
Ge 0.5000 0.0000 0.8804

Output
- total DFT energy (no corrections) (eV per cell) = -55.72
- formation energy (eV per atom) = -0.591
- total magnetic moment (μB/f.u.) = 0.00

No. 8
An optimized crystal structure of CeSm2Ho8, computed with PBE-GGA.

Cell: 5.0154 7.9242 9.3798 Å, 104.67 105.51 90.00°
Each line ends with the local moment (μB).
Element x y z (fractional)
Sm 0.2284 0.6372 0.4567  -0.01
Ho 0.0444 0.7304 0.0888  0.04
Ho 0.9556 0.2696 0.9112  0.04
Sm 0.7716 0.3628 0.5433  -0.01
Ho 0.6800 0.9071 0.3600  0.00
Ho 0.5898 0.4533 0.1796  0.01
Ho 0.8647 0.8215 0.7295  0.05
Ho 0.1353 0.1785 0.2705  0.05
Ho 0.4102 0.5467 0.8204  0.01
Ho 0.3200 0.0929 0.6400  0.00
Ce 0.5000 0.0000 0.0000  0.77

Output
- total DFT energy (no corrections) (eV per cell) = -51.56
- formation energy (eV per atom) = 0.039
- total magnetic moment (μB/f.u.) = 1.13
- relative energy among the computed polymorphs (meV per atom) = 0

No. 9
An optimized crystal structure of ZnSiBr2, computed with PBE-GGA.

Cell: 3.7148 3.7148 9.3715 Å, 90.00 90.00 123.41°
Element x y z (fractional)
Si 0.0000 0.0000 0.5345
Br 0.5000 0.5000 0.3297
Zn 0.5000 0.5000 0.7256
Br 0.0000 0.0000 0.9102

Output
- total DFT energy (no corrections) (eV per cell) = -10.25
- total magnetic moment (μB/f.u.) = 0.00
- formation energy (no corrections) (kcal/mol of atoms) = -1.20
- relative energy among the computed polymorphs (meV per atom) = 108

No. 10
An optimized crystal structure of Er2Si2GeRu5, computed with PBE-GGA.

Cell: 3.1999 9.9437 9.9437 Å, 90.00 90.00 90.00°
Element x y z (fractional)
Si 0.0000 0.8724 0.3724
Ru 0.5000 0.2950 0.5665
Ru 0.5000 0.7050 0.4335
Si 0.0000 0.1276 0.6276
Ru 0.5000 0.2050 0.0665
Er 0.0000 0.3269 0.8269
Er 0.0000 0.6731 0.1731
Er 0.0000 0.1731 0.3269
Ru 0.5000 0.0665 0.7950
Si 0.0000 0.3724 0.1276
Ru 0.5000 0.7950 0.9335
Ge 0.0000 0.0000 0.0000
Ge 0.0000 0.5000 0.5000
Ru 0.5000 0.0000 0.5000
Ru 0.5000 0.5665 0.7050
Ru 0.5000 0.4335 0.2950
Er 0.0000 0.8269 0.6731
Si 0.0000 0.6276 0.8724
Ru 0.5000 0.9335 0.2050
Ru 0.5000 0.5000 0.0000

Output
- total DFT energy (no corrections) (eV per cell) = -155.40
- total magnetic moment (μB/f.u.) = 0.00
- formation energy (no corrections) (kcal/mol of atoms) = -15.52

No. 11
An optimized crystal structure of DyTl4Pd15, computed with PBE-GGA.

Cell: 4.0925 4.0925 20.4868 Å, 90.00 90.00 90.00°
Element x y z (fractional)
Pd 0.0000 0.5000 0.1011
Pd 0.5000 0.5000 0.0000
Pd 0.5000 0.0000 0.6991
Pd 0.5000 0.0000 0.5000
Pd 0.5000 0.5000 0.8001
Pd 0.5000 0.0000 0.1011
Pd 0.5000 0.0000 0.8989
Dy 0.0000 0.0000 0.0000
Pd 0.0000 0.5000 0.6991
Tl 0.0000 0.0000 0.7977
Tl 0.0000 0.0000 0.2023
Pd 0.5000 0.5000 0.4006
Pd 0.5000 0.0000 0.3009
Tl 0.0000 0.0000 0.5997
Pd 0.5000 0.5000 0.5994
Pd 0.5000 0.5000 0.1999
Pd 0.0000 0.5000 0.8989
Pd 0.0000 0.5000 0.5000
Pd 0.0000 0.5000 0.3009
Tl 0.0000 0.0000 0.4003

Output
- total DFT energy (no corrections) (eV per cell) = -98.47
- formation energy (eV per atom) = -0.326
- total magnetic moment (μB/f.u.) = 0.00

No. 12
An optimized crystal structure of CuTc2Ni, computed with PBE-GGA.

Cell: 4.6420 4.6420 4.5563 Å, 80.32 80.32 33.08°
Element x y z (fractional)
Tc 0.0057 0.0057 0.9962
Cu 0.2500 0.2500 0.2500
Tc 0.4943 0.4943 0.5038
Ni 0.7500 0.7500 0.7500

Output
- total DFT energy (no corrections) (eV per cell) = -29.89
- formation energy (eV per atom) = 0.179
- total magnetic moment (μB/f.u.) = 0.00
- relative energy among the computed polymorphs (meV per atom) = 79

No. 13
An optimized crystal structure of Pm2NdSm, computed with PBE-GGA.

Cell: 5.1625 5.1680 6.3378 Å, 114.06 114.03 90.00°
Element x y z (fractional)
Pm 0.0001 0.0001 0.0002
Nd 0.2499 0.7499 0.4998
Sm 0.5000 0.5000 0.9999
Pm 0.7501 0.2501 0.5001

Output
- total DFT energy (no corrections) (eV per cell) = -18.93
- formation energy (eV per atom) = 0.014
- total magnetic moment (μB/f.u.) = 0.00
- relative energy among the computed polymorphs (meV per atom) = 2

No. 14
An optimized crystal structure of GdSc2Rh, computed with PBE-GGA.

Cell: 3.4917 3.4917 9.4242 Å, 79.32 79.32 60.00°
Each line ends with the local moment (μB).
Element x y z (fractional)
Sc 0.2725 0.2725 0.1826  0.01
Rh 0.0000 0.0000 0.0000  0.02
Sc 0.7275 0.7275 0.8174  0.01
Gd 0.5000 0.5000 0.5000  7.25

Output
- total DFT energy (no corrections) (eV per cell) = -35.25
- formation energy (eV per atom) = -0.288
- total magnetic moment (μB/f.u.) = 7.64
- relative energy among the computed polymorphs (meV per atom) = 167

No. 15
An optimized crystal structure of AcNdSnN3, computed with PBE-GGA.

Cell: 3.6328 7.7801 8.4086 Å, 91.15 90.00 90.00°
Element x y z (fractional)
Sn 0.7500 0.8415 0.4130
N 0.7500 0.8691 0.1469
N 0.7500 0.1262 0.4375
N 0.2500 0.6108 0.8800
Nd 0.2500 0.6107 0.1502
Sn 0.2500 0.1585 0.5870
N 0.2500 0.8738 0.5625
N 0.7500 0.3892 0.1200
N 0.2500 0.1309 0.8531
Nd 0.7500 0.3893 0.8498
Ac 0.7500 0.8551 0.8280
Ac 0.2500 0.1449 0.1720

Output
- total DFT energy (no corrections) (eV per cell) = -82.70
- total magnetic moment (μB/f.u.) = 0.00
- formation energy (no corrections) (kcal/mol of atoms) = -13.42

No. 16
An optimized crystal structure of RbNdAs2Pd4, computed with PBE-GGA.

Cell: 4.1644 4.1644 11.2239 Å, 90.00 90.00 90.00°
Element x y z (fractional)
Rb 0.0000 0.0000 0.5000
As 0.5000 0.5000 0.6912
Pd 0.5000 0.0000 0.1916
Pd 0.5000 0.0000 0.8084
Nd 0.0000 0.0000 0.0000
Pd 0.0000 0.5000 0.8084
As 0.5000 0.5000 0.3088
Pd 0.0000 0.5000 0.1916

Output
- total DFT energy (no corrections) (eV per cell) = -39.95
- formation energy (eV per atom) = -0.518
- total magnetic moment (μB/f.u.) = 0.00